Entry 1:
PBE-GGA Rb2MgIr, relaxed; E_form = 0.60 eV/atom; space group = I-42d; calculated volume = 40.12 Å³ per atom; electronic total energy = -2.499 eV per atom
1.0
-5.631 5.631 2.531
5.631 -5.631 2.531
5.631 5.631 -2.531
Rb Mg Ir
4 2 2
Cartesian
-1.340 2.816 0.633
2.816 4.292 1.898
1.340 8.447 0.633
-2.816 6.971 1.898
5.631 0.000 1.265
0.000 0.000 2.531
0.000 0.000 0.000
0.000 5.631 1.265

Entry 2:
PBE-GGA Sm2ThTl3Te6, relaxed; space group = C2/m; calculated volume = 36.02 Å³ per atom; electronic total energy = -4.555 eV per atom
1.0
3.870 -6.705 0.000
3.870 6.705 0.000
-2.581 0.000 8.328
Sm Th Tl Te
2 1 3 6
Cartesian
3.870 4.472 0.000
3.870 -4.472 0.000
3.870 0.000 0.000
-1.290 0.000 4.164
2.580 2.245 4.164
2.580 -2.245 4.164
0.007 2.224 6.489
1.305 0.000 1.845
0.007 -2.224 6.489
5.153 2.224 1.839
3.855 0.000 6.483
5.153 -2.224 1.839